A plane-wave DFT calculation with GGA-PBE was carried out for crystalline NdDyTaN3 at its relaxed geometry.

Properties
Raw formation energy (kcal/mol of atoms): -25.2

Unit cell a=6.5670 b=3.3627 c=9.5536 alpha=90.00 beta=95.38 gamma=90.00
With the nearest neighbours (Å) after each atom.
Space group P2_1/m (No. 11)
Asymmetric unit:
Nd 0.2090 0.2500 0.2460 (multiplicity 2)  6 N 2.46-2.72
Dy 0.3356 0.7500 0.8865 (multiplicity 2)  5 N 2.27-2.42
Ta 0.1416 0.2500 0.5801 (multiplicity 2)  3 N 1.98-2.04
N 0.1077 0.2500 0.7840 (multiplicity 2)  1 Ta 1.98
N 0.1996 0.7500 0.4694 (multiplicity 2)  3 Ta 2.04-2.25
N 0.4008 0.7500 0.1240 (multiplicity 2)  3 Dy 2.27-2.42, 2 Nd 2.46